The following is a DFT calculation (PBE) of an optimized crystal structure of PrDySbTe.

CIF file:
```
data_PrDySbTe
_cell_length_a 7.762
_cell_length_b 7.762
_cell_length_c 7.762
_cell_angle_alpha 33.34
_cell_angle_beta 33.34
_cell_angle_gamma 33.34
_space_group_name_H-M_alt 'P 1'
_space_group_IT_number 1
loop_
_space_group_symop_operation_xyz
'x,y,z'
loop_
_atom_site_label
_atom_site_type_symbol
_atom_site_fract_x
_atom_site_fract_y
_atom_site_fract_z
Pr1 Pr 0.000 0.000 0.000
Dy1 Dy 0.493 0.493 0.493
Sb1 Sb 0.751 0.751 0.751
Te1 Te 0.242 0.242 0.242
```

- formation energy without anion corrections (meV/atom) = -1305
- magnetic moment (Bohr magnetons per cell) = 0.00
- E (eV per atom) = -5.47

***

The following is a DFT calculation (PBE) of an optimized crystal structure of Pr3DyTh2Sb6.

CIF file:
```
data_Pr3DyTh2Sb6
_cell_length_a 10.101
_cell_length_b 10.101
_cell_length_c 9.025
_cell_angle_alpha 103.14
_cell_angle_beta 103.14
_cell_angle_gamma 25.84
_space_group_name_H-M_alt 'P 1'
_space_group_IT_number 1
loop_
_space_group_symop_operation_xyz
'x,y,z'
loop_
_atom_site_label
_atom_site_type_symbol
_atom_site_fract_x
_atom_site_fract_y
_atom_site_fract_z
Pr1 Pr 0.000 0.000 0.000
Pr2 Pr 0.333 0.333 0.666
Pr3 Pr 0.667 0.667 0.334
Dy1 Dy 0.000 0.000 0.500
Th1 Th 0.335 0.335 0.169
Th2 Th 0.665 0.665 0.831
Sb1 Sb 0.164 0.164 0.584
Sb2 Sb 0.168 0.168 0.081
Sb3 Sb 0.500 0.500 0.258
Sb4 Sb 0.500 0.500 0.742
Sb5 Sb 0.832 0.832 0.919
Sb6 Sb 0.836 0.836 0.416
```

- formation energy without anion corrections (meV/atom) = -1101
- magnetic moment (Bohr magnetons per cell) = 0.00
- E (eV per atom) = -5.98

***

The following is a DFT calculation (PBE) of an optimized crystal structure of Pr2DyThSb4.

CIF file:
```
data_Pr2DyThSb4
_cell_length_a 7.782
_cell_length_b 4.509
_cell_length_c 7.814
_cell_angle_alpha 90.00
_cell_angle_beta 109.45
_cell_angle_gamma 90.00
_space_group_name_H-M_alt 'P 1'
_space_group_IT_number 1
loop_
_space_group_symop_operation_xyz
'x,y,z'
loop_
_atom_site_label
_atom_site_type_symbol
_atom_site_fract_x
_atom_site_fract_y
_atom_site_fract_z
Pr1 Pr 0.000 0.000 0.000
Pr2 Pr 0.500 0.500 0.000
Dy1 Dy 0.000 0.500 0.500
Th1 Th 0.500 0.000 0.500
Sb1 Sb 0.244 0.000 0.741
Sb2 Sb 0.248 0.500 0.256
Sb3 Sb 0.752 0.500 0.744
Sb4 Sb 0.756 0.000 0.259
```

- formation energy without anion corrections (meV/atom) = -1123
- magnetic moment (Bohr magnetons per cell) = 0.00
- E (eV per atom) = -5.88

***

The following is a DFT calculation (PBE) of an optimized crystal structure of PrDyTh2Sb4.

CIF file:
```
data_PrDyTh2Sb4
_cell_length_a 7.757
_cell_length_b 4.498
_cell_length_c 7.791
_cell_angle_alpha 90.00
_cell_angle_beta 109.63
_cell_angle_gamma 90.00
_space_group_name_H-M_alt 'P 1'
_space_group_IT_number 1
loop_
_space_group_symop_operation_xyz
'x,y,z'
loop_
_atom_site_label
_atom_site_type_symbol
_atom_site_fract_x
_atom_site_fract_y
_atom_site_fract_z
Pr1 Pr 0.000 0.000 0.000
Dy1 Dy 0.000 0.500 0.500
Th1 Th 0.500 0.000 0.500
Th2 Th 0.500 0.500 0.000
Sb1 Sb 0.245 0.000 0.744
Sb2 Sb 0.249 0.500 0.254
Sb3 Sb 0.751 0.500 0.746
Sb4 Sb 0.755 0.000 0.256
```

- formation energy without anion corrections (meV/atom) = -1038
- magnetic moment (Bohr magnetons per cell) = 0.00
- E (eV per atom) = -6.13

***

The following is a DFT calculation (PBE) of an optimized crystal structure of PrDy2TmSb4.

CIF file:
```
data_PrDy2TmSb4
_cell_length_a 7.650
_cell_length_b 7.650
_cell_length_c 7.650
_cell_angle_alpha 131.78
_cell_angle_beta 131.78
_cell_angle_gamma 70.58
_space_group_name_H-M_alt 'P 1'
_space_group_IT_number 1
loop_
_space_group_symop_operation_xyz
'x,y,z'
loop_
_atom_site_label
_atom_site_type_symbol
_atom_site_fract_x
_atom_site_fract_y
_atom_site_fract_z
Pr1 Pr 0.000 0.000 0.000
Dy1 Dy 0.250 0.750 0.500
Dy2 Dy 0.750 0.250 0.500
Tm1 Tm 0.500 0.500 0.000
Sb1 Sb 0.000 0.500 0.500
Sb2 Sb 0.255 0.255 0.000
Sb3 Sb 0.500 0.000 0.500
Sb4 Sb 0.745 0.745 0.000
```

- formation energy without anion corrections (meV/atom) = -1119
- magnetic moment (Bohr magnetons per cell) = 0.00
- E (eV per atom) = -5.49

***

The following is a DFT calculation (PBE) of an optimized crystal structure of Pr2DyTm3Sb6.

CIF file:
```
data_Pr2DyTm3Sb6
_cell_length_a 9.877
_cell_length_b 9.877
_cell_length_c 8.834
_cell_angle_alpha 102.80
_cell_angle_beta 102.80
_cell_angle_gamma 25.88
_space_group_name_H-M_alt 'P 1'
_space_group_IT_number 1
loop_
_space_group_symop_operation_xyz
'x,y,z'
loop_
_atom_site_label
_atom_site_type_symbol
_atom_site_fract_x
_atom_site_fract_y
_atom_site_fract_z
Pr1 Pr 0.166 0.166 0.332
Pr2 Pr 0.834 0.834 0.668
Dy1 Dy 0.500 0.500 0.000
Tm1 Tm 0.168 0.168 0.834
Tm2 Tm 0.500 0.500 0.500
Tm3 Tm 0.832 0.832 0.166
Sb1 Sb 0.004 0.004 0.750
Sb2 Sb 0.333 0.333 0.927
Sb3 Sb 0.336 0.336 0.409
Sb4 Sb 0.664 0.664 0.591
Sb5 Sb 0.667 0.667 0.073
Sb6 Sb 0.996 0.996 0.250
```

- formation energy without anion corrections (meV/atom) = -1112
- magnetic moment (Bohr magnetons per cell) = 0.00
- E (eV per atom) = -5.47

***

The following is a DFT calculation (PBE) of an optimized crystal structure of Pr2Dy3TmSb6.

CIF file:
```
data_Pr2Dy3TmSb6
_cell_length_a 9.916
_cell_length_b 9.916
_cell_length_c 8.870
_cell_angle_alpha 102.92
_cell_angle_beta 102.92
_cell_angle_gamma 25.86
_space_group_name_H-M_alt 'P 1'
_space_group_IT_number 1
loop_
_space_group_symop_operation_xyz
'x,y,z'
loop_
_atom_site_label
_atom_site_type_symbol
_atom_site_fract_x
_atom_site_fract_y
_atom_site_fract_z
Pr1 Pr 0.165 0.165 0.332
Pr2 Pr 0.835 0.835 0.668
Dy1 Dy 0.169 0.169 0.834
Dy2 Dy 0.500 0.500 0.500
Dy3 Dy 0.831 0.831 0.166
Tm1 Tm 0.500 0.500 0.000
Sb1 Sb 0.004 0.004 0.754
Sb2 Sb 0.335 0.335 0.926
Sb3 Sb 0.336 0.336 0.411
Sb4 Sb 0.664 0.664 0.589
Sb5 Sb 0.665 0.665 0.074
Sb6 Sb 0.996 0.996 0.246
```

- formation energy without anion corrections (meV/atom) = -1132
- magnetic moment (Bohr magnetons per cell) = 0.00
- E (eV per atom) = -5.51

***

The following is a DFT calculation (PBE) of an optimized crystal structure of Pr2DyTmSb4.

CIF file:
```
data_Pr2DyTmSb4
_cell_length_a 7.716
_cell_length_b 4.466
_cell_length_c 7.730
_cell_angle_alpha 90.00
_cell_angle_beta 109.51
_cell_angle_gamma 90.00
_space_group_name_H-M_alt 'P 1'
_space_group_IT_number 1
loop_
_space_group_symop_operation_xyz
'x,y,z'
loop_
_atom_site_label
_atom_site_type_symbol
_atom_site_fract_x
_atom_site_fract_y
_atom_site_fract_z
Pr1 Pr 0.000 0.000 0.000
Pr2 Pr 0.000 0.500 0.500
Dy1 Dy 0.500 0.000 0.500
Tm1 Tm 0.500 0.500 0.000
Sb1 Sb 0.262 0.500 0.253
Sb2 Sb 0.263 0.000 0.756
Sb3 Sb 0.737 0.000 0.244
Sb4 Sb 0.738 0.500 0.747
```

- formation energy without anion corrections (meV/atom) = -1140
- magnetic moment (Bohr magnetons per cell) = 0.00
- E (eV per atom) = -5.53

***

The following is a DFT calculation (PBE) of an optimized crystal structure of Pr2Dy2Sc.

CIF file:
```
data_Pr2Dy2Sc
_cell_length_a 16.445
_cell_length_b 16.445
_cell_length_c 16.445
_cell_angle_alpha 167.71
_cell_angle_beta 160.14
_cell_angle_gamma 23.42
_space_group_name_H-M_alt 'P 1'
_space_group_IT_number 1
loop_
_space_group_symop_operation_xyz
'x,y,z'
loop_
_atom_site_label
_atom_site_type_symbol
_atom_site_fract_x
_atom_site_fract_y
_atom_site_fract_z
Pr1 Pr 0.044 0.294 0.750
Pr2 Pr 0.435 0.185 0.250
Pr3 Pr 0.565 0.815 0.750
Pr4 Pr 0.956 0.706 0.250
Dy1 Dy 0.135 0.885 0.250
Dy2 Dy 0.230 0.980 0.250
Dy3 Dy 0.770 0.020 0.750
Dy4 Dy 0.865 0.115 0.750
Sc1 Sc 0.323 0.573 0.750
Sc2 Sc 0.677 0.427 0.250
```

- relative energy among the computed polymorphs (eV/f.u.) = 0.34
- ΔE_f (eV per atom) = 0.1941
- magnetic moment (Bohr magnetons per cell) = 0.00
- E (eV per atom) = -4.82

***

The following is a DFT calculation (PBE) of an optimized crystal structure of Pr4Dy5Sc.

CIF file:
```
data_Pr4Dy5Sc
_cell_length_a 8.116
_cell_length_b 8.116
_cell_length_c 8.116
_cell_angle_alpha 97.63
_cell_angle_beta 97.63
_cell_angle_gamma 137.27
_space_group_name_H-M_alt 'P 1'
_space_group_IT_number 1
loop_
_space_group_symop_operation_xyz
'x,y,z'
loop_
_atom_site_label
_atom_site_type_symbol
_atom_site_fract_x
_atom_site_fract_y
_atom_site_fract_z
Pr1 Pr 0.000 0.321 0.321
Pr2 Pr 0.000 0.679 0.679
Pr3 Pr 0.321 0.000 0.321
Pr4 Pr 0.679 0.000 0.679
Dy1 Dy 0.241 0.241 0.000
Dy2 Dy 0.339 0.339 0.628
Dy3 Dy 0.339 0.711 0.000
Dy4 Dy 0.711 0.339 0.000
Dy5 Dy 0.711 0.711 0.372
Sc1 Sc 0.767 0.767 0.000
```

- relative energy among the computed polymorphs (eV/f.u.) = 0.97
- ΔE_f (eV per atom) = 0.2091
- magnetic moment (Bohr magnetons per cell) = 0.00
- E (eV per atom) = -4.64

***

The following is a DFT calculation (PBE) of an optimized crystal structure of PrDy7Sc2.

CIF file:
```
data_PrDy7Sc2
_cell_length_a 8.741
_cell_length_b 8.741
_cell_length_c 5.597
_cell_angle_alpha 90.00
_cell_angle_beta 90.00
_cell_angle_gamma 119.51
_space_group_name_H-M_alt 'P 1'
_space_group_IT_number 1
loop_
_space_group_symop_operation_xyz
'x,y,z'
loop_
_atom_site_label
_atom_site_type_symbol
_atom_site_fract_x
_atom_site_fract_y
_atom_site_fract_z
Pr1 Pr 0.000 0.000 0.000
Dy1 Dy 0.059 0.304 0.500
Dy2 Dy 0.244 0.756 0.000
Dy3 Dy 0.304 0.059 0.500
Dy4 Dy 0.500 0.500 0.500
Dy5 Dy 0.696 0.941 0.500
Dy6 Dy 0.756 0.244 0.000
Dy7 Dy 0.941 0.696 0.500
Sc1 Sc 0.296 0.704 0.500
Sc2 Sc 0.704 0.296 0.500
```

- ΔE_f (eV per atom) = 0.6515
- magnetic moment (Bohr magnetons per cell) = 0.00
- E (eV per atom) = -4.31

***

The following is a DFT calculation (PBE) of an optimized crystal structure of Pr2Dy4Sc.

CIF file:
```
data_Pr2Dy4Sc
_cell_length_a 6.924
_cell_length_b 6.924
_cell_length_c 11.190
_cell_angle_alpha 90.00
_cell_angle_beta 90.00
_cell_angle_gamma 121.90
_space_group_name_H-M_alt 'P 1'
_space_group_IT_number 1
loop_
_space_group_symop_operation_xyz
'x,y,z'
loop_
_atom_site_label
_atom_site_type_symbol
_atom_site_fract_x
_atom_site_fract_y
_atom_site_fract_z
Pr1 Pr 0.036 0.964 0.750
Pr2 Pr 0.324 0.676 0.750
Pr3 Pr 0.676 0.324 0.250
Pr4 Pr 0.964 0.036 0.250
Dy1 Dy 0.222 0.778 0.045
Dy2 Dy 0.222 0.778 0.455
Dy3 Dy 0.279 0.279 0.000
Dy4 Dy 0.279 0.279 0.500
Dy5 Dy 0.721 0.721 0.000
Dy6 Dy 0.721 0.721 0.500
Dy7 Dy 0.778 0.222 0.545
Dy8 Dy 0.778 0.222 0.955
Sc1 Sc 0.399 0.601 0.250
Sc2 Sc 0.601 0.399 0.750
```

- relative energy among the computed polymorphs (eV/f.u.) = 0.00
- ΔE_f (eV per atom) = 0.1890
- magnetic moment (Bohr magnetons per cell) = 0.00
- E (eV per atom) = -4.71

***

These records have D(E_F) values of 1.8 4.8 1.7 4.4 1.2 1.9 1.9 1.1 7.9 13.7 14.2 9.7 states/eV/f.u., in the order they appear.